1.
Material: CeAl2Ni3
Method: DFT, PBE
State: relaxed

```
data_CeAl2Ni3
_chemical_formula_sum 'Ce4 Al8 Ni12'
_space_group_name_H-M_alt 'C m c m'
_space_group_IT_number 63
_space_group_name_Hall '-C 2c 2'
_cell_length_a 9.571
_cell_length_b 7.377
_cell_length_c 5.282
_cell_angle_alpha 90.00
_cell_angle_beta 90.00
_cell_angle_gamma 90.00
loop_
_atom_site_label
_atom_site_type_symbol
_atom_site_fract_x
_atom_site_fract_y
_atom_site_fract_z
Ce1 Ce 0.000 0.185 0.250
Al1 Al 0.217 0.500 0.000
Ni1 Ni 0.000 0.470 0.750
Ni2 Ni 0.149 0.210 0.750
```

Values from the calculation:
Crystal system = orthorhombic
Raw total energy = -5.649 eV per atom
DOS at the Fermi energy = 4.41 states/eV/f.u.
Formation enthalpy at 0 K = -0.522 eV/atom
M_tot = 0.00 μB/f.u.

=====

2.
Material: CeAlNi5
Method: DFT, PBE
State: relaxed

```
data_CeAlNi5
_chemical_formula_sum 'Ce4 Al4 Ni20'
_space_group_name_H-M_alt 'P n m a'
_space_group_IT_number 62
_space_group_name_Hall '-P 2ac 2n'
_cell_length_a 7.923
_cell_length_b 4.831
_cell_length_c 10.026
_cell_angle_alpha 90.00
_cell_angle_beta 90.00
_cell_angle_gamma 90.00
loop_
_atom_site_label
_atom_site_type_symbol
_atom_site_fract_x
_atom_site_fract_y
_atom_site_fract_z
Ce1 Ce 0.250 0.250 0.054
Al1 Al 0.143 0.250 0.355
Ni1 Ni 0.052 0.250 0.591
Ni2 Ni 0.066 0.506 0.804
Ni3 Ni 0.099 0.750 0.017
Ni4 Ni 0.186 0.750 0.251
```

Values from the calculation:
Crystal system = orthorhombic
Raw total energy = -5.943 eV per atom
DOS at the Fermi energy = 6.64 states/eV/f.u.
Formation enthalpy at 0 K = -0.431 eV/atom
M_tot = 0.00 μB/f.u.

=====

3.
Material: CeAl2Ni
Method: DFT, PBE
State: relaxed

```
data_CeAl2Ni
_chemical_formula_sum 'Ce1 Al2 Ni1'
_space_group_name_H-M_alt 'P 4/m m m'
_space_group_IT_number 123
_space_group_name_Hall '-P 4 2'
_cell_length_a 2.996
_cell_length_b 2.996
_cell_length_c 7.555
_cell_angle_alpha 90.00
_cell_angle_beta 90.00
_cell_angle_gamma 90.00
loop_
_atom_site_label
_atom_site_type_symbol
_atom_site_fract_x
_atom_site_fract_y
_atom_site_fract_z
Ce1 Ce 0.000 0.000 0.000
Al1 Al 0.500 0.500 0.318
Ni1 Ni 0.000 0.000 0.500
```

Values from the calculation:
Crystal system = tetragonal
Raw total energy = -5.268 eV per atom
DOS at the Fermi energy = 4.19 states/eV/f.u.
Formation enthalpy at 0 K = -0.468 eV/atom
M_tot = 0.31 μB/f.u.

=====

4.
Material: Ce2AlNi4
Method: DFT, PBE
State: relaxed

```
data_Ce2AlNi4
_chemical_formula_sum 'Ce4 Al2 Ni8'
_space_group_name_H-M_alt 'C m m m'
_space_group_IT_number 65
_space_group_name_Hall '-C 2 2'
_cell_length_a 6.580
_cell_length_b 10.418
_cell_length_c 3.482
_cell_angle_alpha 90.00
_cell_angle_beta 90.00
_cell_angle_gamma 90.00
loop_
_atom_site_label
_atom_site_type_symbol
_atom_site_fract_x
_atom_site_fract_y
_atom_site_fract_z
Ce1 Ce 0.250 0.250 0.000
Al1 Al 0.000 0.000 0.500
Ni1 Ni 0.000 0.383 0.500
Ni2 Ni 0.213 0.500 0.000
```

Values from the calculation:
Crystal system = orthorhombic
Raw total energy = -5.739 eV per atom
DOS at the Fermi energy = 6.69 states/eV/f.u.
Formation enthalpy at 0 K = -0.205 eV/atom
M_tot = 0.00 μB/f.u.

=====

5.
Material: Ce3AlNi8
Method: DFT, PBE
State: relaxed

```
data_Ce3AlNi8
_chemical_formula_sum 'Ce9 Al3 Ni24'
_space_group_name_H-M_alt 'R 3 m'
_space_group_IT_number 160
_space_group_name_Hall 'R 3 -2"'
_cell_length_a 4.9931
_cell_length_b 4.9931
_cell_length_c 24.5963
_cell_angle_alpha 90.00
_cell_angle_beta 90.00
_cell_angle_gamma 120.00
loop_
_atom_site_label
_atom_site_type_symbol
_atom_site_fract_x
_atom_site_fract_y
_atom_site_fract_z
Ce1 Ce 0.0000 0.0000 0.0000
Ce2 Ce 0.0000 0.0000 0.1272
Ce3 Ce 0.0000 0.0000 0.6208
Al1 Al 0.0000 0.0000 0.4970
Ni1 Ni 0.0000 0.0000 0.3122
Ni2 Ni 0.0000 0.0000 0.8128
Ni3 Ni 0.0011 0.5005 0.5599
Ni4 Ni 0.0049 0.5024 0.0647
```

Values from the calculation:
Crystal system = trigonal
Raw total energy = -6.057 eV per atom
DOS at the Fermi energy = 14.26 states/eV/f.u.
Formation enthalpy at 0 K = -0.408 eV/atom
M_tot = 0.00 μB/f.u.

=====

6.
Material: Ce2AlNi3P4
Method: DFT, PBE
State: relaxed

```
data_Ce2AlNi3P4
_chemical_formula_sum 'Ce2 Al1 Ni3 P4'
_space_group_name_H-M_alt 'P -4 m 2'
_space_group_IT_number 115
_space_group_name_Hall 'P -4 -2'
_cell_length_a 4.112
_cell_length_b 4.112
_cell_length_c 9.202
_cell_angle_alpha 90.00
_cell_angle_beta 90.00
_cell_angle_gamma 90.00
loop_
_atom_site_label
_atom_site_type_symbol
_atom_site_fract_x
_atom_site_fract_y
_atom_site_fract_z
Ce1 Ce 0.000 0.500 0.236
Al1 Al 0.000 0.000 0.500
Ni1 Ni 0.000 0.500 0.891
Ni2 Ni 0.500 0.500 0.500
P1 P 0.000 0.000 0.000
P2 P 0.000 0.500 0.642
P3 P 0.500 0.500 0.000
```

Values from the calculation:
Crystal system = tetragonal
Raw total energy = -6.357 eV per atom
DOS at the Fermi energy = 10.08 states/eV/f.u.
Formation enthalpy at 0 K = -0.898 eV/atom
M_tot = 1.15 μB/f.u.

=====

7.
Material: CeAlNi5P2
Method: DFT, PBE
State: relaxed

```
data_CeAlNi5P2
_chemical_formula_sum 'Ce1 Al1 Ni5 P2'
_space_group_name_H-M_alt 'P 4/m m m'
_space_group_IT_number 123
_space_group_name_Hall '-P 4 2'
_cell_length_a 3.813
_cell_length_b 3.813
_cell_length_c 9.417
_cell_angle_alpha 90.00
_cell_angle_beta 90.00
_cell_angle_gamma 90.00
loop_
_atom_site_label
_atom_site_type_symbol
_atom_site_fract_x
_atom_site_fract_y
_atom_site_fract_z
Ce1 Ce 0.000 0.000 0.000
Al1 Al 0.000 0.000 0.500
Ni1 Ni 0.000 0.500 0.342
Ni2 Ni 0.500 0.500 0.000
P1 P 0.500 0.500 0.225
```

Values from the calculation:
Crystal system = tetragonal
Raw total energy = -5.990 eV per atom
DOS at the Fermi energy = 11.47 states/eV/f.u.
Formation enthalpy at 0 K = -0.501 eV/atom
M_tot = 0.69 μB/f.u.

=====

8.
Material: CeAlNiPt3
Method: DFT, PBE
State: relaxed

```
data_CeAlNiPt3
_chemical_formula_sum 'Ce4 Al4 Ni4 Pt12'
_space_group_name_H-M_alt 'C m c m'
_space_group_IT_number 63
_space_group_name_Hall '-C 2c 2'
_cell_length_a 5.667
_cell_length_b 12.567
_cell_length_c 5.814
_cell_angle_alpha 90.00
_cell_angle_beta 90.00
_cell_angle_gamma 90.00
loop_
_atom_site_label
_atom_site_type_symbol
_atom_site_fract_x
_atom_site_fract_y
_atom_site_fract_z
Ce1 Ce 0.000 0.194 0.250
Al1 Al 0.000 0.122 0.750
Ni1 Ni 0.000 0.372 0.250
Pt1 Pt 0.000 0.321 0.750
Pt2 Pt 0.247 0.500 0.000
```

Values from the calculation:
Crystal system = orthorhombic
Raw total energy = -6.331 eV per atom
DOS at the Fermi energy = 4.84 states/eV/f.u.
Formation enthalpy at 0 K = -0.734 eV/atom
M_tot = 0.00 μB/f.u.

=====

9.
Material: Ce2AlNi2Pt5
Method: DFT, PBE
State: relaxed

```
data_Ce2AlNi2Pt5
_chemical_formula_sum 'Ce4 Al2 Ni4 Pt10'
_space_group_name_H-M_alt 'P 4/m b m'
_space_group_IT_number 127
_space_group_name_Hall '-P 4 2ab'
_cell_length_a 9.273
_cell_length_b 9.273
_cell_length_c 3.947
_cell_angle_alpha 90.00
_cell_angle_beta 90.00
_cell_angle_gamma 90.00
loop_
_atom_site_label
_atom_site_type_symbol
_atom_site_fract_x
_atom_site_fract_y
_atom_site_fract_z
Ce1 Ce 0.174 0.326 0.000
Al1 Al 0.000 0.000 0.000
Ni1 Ni 0.125 0.625 0.000
Pt1 Pt 0.000 0.500 0.500
Pt2 Pt 0.068 0.796 0.500
```

Values from the calculation:
Crystal system = tetragonal
Raw total energy = -6.623 eV per atom
DOS at the Fermi energy = 5.40 states/eV/f.u.
Formation enthalpy at 0 K = -0.885 eV/atom
M_tot = 0.29 μB/f.u.

=====

10.
Material: Ce2AlNi3Pt12
Method: DFT, PBE
State: relaxed

```
data_Ce2AlNi3Pt12
_chemical_formula_sum 'Ce6 Al3 Ni9 Pt36'
_space_group_name_H-M_alt 'R -3 m'
_space_group_IT_number 166
_space_group_name_Hall '-R 3 2"'
_cell_length_a 7.8485
_cell_length_b 7.8485
_cell_length_c 19.5049
_cell_angle_alpha 90.00
_cell_angle_beta 90.00
_cell_angle_gamma 120.00
loop_
_atom_site_label
_atom_site_type_symbol
_atom_site_fract_x
_atom_site_fract_y
_atom_site_fract_z
Ce1 Ce 0.0000 0.0000 0.1227
Al1 Al 0.0000 0.0000 0.5000
Ni1 Ni 0.0000 0.5000 0.0000
Pt1 Pt 0.0079 0.5040 0.6235
Pt2 Pt 0.0091 0.5046 0.8736
```

Values from the calculation:
Crystal system = trigonal
Raw total energy = -6.103 eV per atom
DOS at the Fermi energy = 14.80 states/eV/f.u.
Formation enthalpy at 0 K = -0.245 eV/atom
M_tot = 2.25 μB/f.u.

=====

11.
Material: CeAlNiRh
Method: DFT, PBE
State: relaxed

```
data_CeAlNiRh
_chemical_formula_sum 'Ce4 Al4 Ni4 Rh4'
_space_group_name_H-M_alt 'F -4 3 m'
_space_group_IT_number 216
_space_group_name_Hall 'F -4 2 3'
_cell_length_a 6.513
_cell_length_b 6.513
_cell_length_c 6.513
_cell_angle_alpha 90.00
_cell_angle_beta 90.00
_cell_angle_gamma 90.00
loop_
_atom_site_label
_atom_site_type_symbol
_atom_site_fract_x
_atom_site_fract_y
_atom_site_fract_z
Ce1 Ce 0.000 0.000 0.000
Al1 Al 0.000 0.000 0.500
Ni1 Ni 0.250 0.250 0.750
Rh1 Rh 0.250 0.250 0.250
```

Values from the calculation:
Crystal system = cubic
Raw total energy = -6.241 eV per atom
DOS at the Fermi energy = 5.00 states/eV/f.u.
Formation enthalpy at 0 K = -0.538 eV/atom
M_tot = 0.00 μB/f.u.